Entry 1:
Density functional theory data (PBE-GGA) for a relaxed PrMg3Tl4 crystal.

Cell lengths 10.2338, 7.9501, 5.1127 Å; angles 90.00, 90.00, 90.00 degrees
Fractional positions:
Pr 0.0000 0.0000 0.0000
Pr 0.5000 0.0000 0.0000
Mg 0.0000 0.5000 0.0000
Mg 0.2500 0.0000 0.4987
Mg 0.2500 0.5000 0.4969
Mg 0.5000 0.5000 0.0000
Mg 0.7500 0.0000 0.5013
Mg 0.7500 0.5000 0.5031
Tl 0.0000 0.2674 0.5000
Tl 0.0000 0.7326 0.5000
Tl 0.2500 0.2672 0.9983
Tl 0.2500 0.7328 0.9983
Tl 0.5000 0.2674 0.5000
Tl 0.5000 0.7326 0.5000
Tl 0.7500 0.2672 0.0017
Tl 0.7500 0.7328 0.0017

Its space group is Pmma. For the density of states at the Fermi level, the calculation gives 0.334 states/eV per atom. Its formation energy is -0.165 eV/atom. Its calculated total energy is -0.09347 hartree per atom.

***

Entry 2:
Density functional theory data (PBE-GGA) for a relaxed PrMg3Tl3 crystal.

Cell lengths 9.7270, 9.7270, 9.7270 Å; angles 60.00, 60.00, 60.00 degrees
Fractional positions:
Pr 0.2500 0.2500 0.2500
Pr 0.7500 0.7500 0.7500
Mg 0.1501 0.1501 0.8499
Mg 0.1501 0.8499 0.1501
Mg 0.1501 0.8499 0.8499
Mg 0.8499 0.1501 0.1501
Mg 0.8499 0.1501 0.8499
Mg 0.8499 0.8499 0.1501
Tl 0.3409 0.3409 0.6591
Tl 0.3409 0.6591 0.3409
Tl 0.3409 0.6591 0.6591
Tl 0.6591 0.3409 0.3409
Tl 0.6591 0.3409 0.6591
Tl 0.6591 0.6591 0.3409

Its space group is Fm-3m. For the density of states at the Fermi level, the calculation gives 1.282 states/eV per atom. Its formation energy is 0.807 eV/atom. Its calculated total energy is -0.05781 hartree per atom.

***

Entry 3:
Density functional theory data (PBE-GGA) for a relaxed Pr2Mg15Tl2 crystal.

Cell lengths 7.8322, 7.8322, 7.8322 Å; angles 82.68, 82.68, 82.68 degrees
Fractional positions:
Pr 0.1726 0.1726 0.1726
Pr 0.8274 0.8274 0.8274
Mg 0.0000 0.5000 0.5000
Mg 0.1490 0.1490 0.6668
Mg 0.1490 0.6668 0.1490
Mg 0.1900 0.5000 0.8100
Mg 0.1900 0.8100 0.5000
Mg 0.3332 0.8510 0.8510
Mg 0.5000 0.0000 0.5000
Mg 0.5000 0.1900 0.8099
Mg 0.5000 0.5000 0.0000
Mg 0.5000 0.8099 0.1900
Mg 0.6668 0.1490 0.1490
Mg 0.8099 0.1900 0.5000
Mg 0.8099 0.5000 0.1900
Mg 0.8510 0.3332 0.8510
Mg 0.8510 0.8510 0.3332
Tl 0.3973 0.3973 0.3973
Tl 0.6027 0.6027 0.6027

Its space group is R-3m. For the density of states at the Fermi level, the calculation gives 0.428 states/eV per atom. Its formation energy is -0.077 eV/atom. Its calculated total energy is -0.07674 hartree per atom.

***

Entry 4:
Density functional theory data (PBE-GGA) for a relaxed Pr3Mg4Tl4 crystal.

Cell lengths 9.1852, 9.1852, 9.1852 Å; angles 149.58, 130.29, 59.40 degrees
Fractional positions:
Pr 0.0000 0.0000 0.0000
Pr 0.3792 0.8792 0.5000
Pr 0.6208 0.1208 0.5000
Mg 0.0224 0.3278 0.6946
Mg 0.3668 0.6722 0.6946
Mg 0.6332 0.3278 0.3054
Mg 0.9776 0.6722 0.3054
Tl 0.2172 0.2172 0.0000
Tl 0.3000 0.5000 0.8000
Tl 0.7000 0.5000 0.2000
Tl 0.7828 0.7828 0.0000

Its space group is Immm. For the density of states at the Fermi level, the calculation gives 0.437 states/eV per atom. Its formation energy is -0.312 eV/atom. Its calculated total energy is -0.11228 hartree per atom.

***

Entry 5:
Density functional theory data (PBE-GGA) for a relaxed Pr5MgTl4 crystal.

Cell lengths 3.9147, 3.9147, 19.7980 Å; angles 90.00, 90.00, 90.00 degrees
Fractional positions:
Pr 0.0000 0.0000 0.0000
Pr 0.0000 0.0000 0.2014
Pr 0.0000 0.0000 0.4029
Pr 0.0000 0.0000 0.5971
Pr 0.0000 0.0000 0.7986
Mg 0.5000 0.5000 0.5000
Tl 0.5000 0.5000 0.1007
Tl 0.5000 0.5000 0.3049
Tl 0.5000 0.5000 0.6951
Tl 0.5000 0.5000 0.8993

Its space group is P4/mmm. For the density of states at the Fermi level, the calculation gives 1.141 states/eV per atom. Its formation energy is -0.335 eV/atom. Its calculated total energy is -0.14078 hartree per atom.

***

Entry 6:
Density functional theory data (PBE-GGA) for a relaxed PrMgTl crystal.

Cell lengths 7.0923, 7.0923, 7.0923 Å; angles 90.00, 90.00, 90.00 degrees
Fractional positions:
Pr 0.0072 0.0072 0.0072
Pr 0.4928 0.9928 0.5072
Pr 0.5072 0.4928 0.9928
Pr 0.9928 0.5072 0.4928
Mg 0.2429 0.7429 0.7571
Mg 0.2571 0.2571 0.2571
Mg 0.7429 0.7571 0.2429
Mg 0.7571 0.2429 0.7429
Tl 0.0020 0.9980 0.4980
Tl 0.4980 0.0020 0.9980
Tl 0.5020 0.5020 0.5020
Tl 0.9980 0.4980 0.0020

Its space group is P2_13. For the density of states at the Fermi level, the calculation gives 0.460 states/eV per atom. Its formation energy is -0.060 eV/atom. Its calculated total energy is -0.10928 hartree per atom.

***

Entry 7:
Density functional theory data (PBE-GGA) for a relaxed Pr3MgTl4 crystal.

Cell lengths 3.6824, 3.6824, 16.8297 Å; angles 90.00, 90.00, 90.00 degrees
Fractional positions:
Pr 0.0000 0.0000 0.0000
Pr 0.0000 0.0000 0.2632
Pr 0.0000 0.0000 0.7368
Mg 0.0000 0.0000 0.5000
Tl 0.5000 0.5000 0.1329
Tl 0.5000 0.5000 0.3960
Tl 0.5000 0.5000 0.6040
Tl 0.5000 0.5000 0.8671

Its space group is P4/mmm. For the density of states at the Fermi level, the calculation gives 0.847 states/eV per atom. Its formation energy is -0.312 eV/atom. Its calculated total energy is -0.12813 hartree per atom.

***

Entry 8:
Density functional theory data (PBE-GGA) for a relaxed PrTmMgTl crystal.

Cell lengths 7.6581, 7.6581, 7.6581 Å; angles 90.00, 90.00, 90.00 degrees
Fractional positions:
Pr 0.0000 0.0000 0.0000
Pr 0.0000 0.5000 0.5000
Pr 0.5000 0.0000 0.5000
Pr 0.5000 0.5000 0.0000
Tm 0.0000 0.0000 0.5000
Tm 0.0000 0.5000 0.0000
Tm 0.5000 0.0000 0.0000
Tm 0.5000 0.5000 0.5000
Mg 0.2500 0.2500 0.7500
Mg 0.2500 0.7500 0.2500
Mg 0.7500 0.2500 0.2500
Mg 0.7500 0.7500 0.7500
Tl 0.2500 0.2500 0.2500
Tl 0.2500 0.7500 0.7500
Tl 0.7500 0.2500 0.7500
Tl 0.7500 0.7500 0.2500

Its space group is F-43m. For the density of states at the Fermi level, the calculation gives 0.844 states/eV per atom. Its formation energy is -0.228 eV/atom. Its calculated total energy is -0.12976 hartree per atom.

***

Entry 9:
Density functional theory data (PBE-GGA) for a relaxed Pr4MgTlZn2 crystal.

Cell lengths 9.4332, 9.4332, 9.4332 Å; angles 33.17, 33.17, 33.17 degrees
Fractional positions:
Pr 0.1239 0.1239 0.1239
Pr 0.3748 0.3748 0.3748
Pr 0.6252 0.6252 0.6252
Pr 0.8761 0.8761 0.8761
Mg 0.0000 0.0000 0.0000
Tl 0.5000 0.5000 0.5000
Zn 0.2561 0.2561 0.2561
Zn 0.7439 0.7439 0.7439

Its space group is R-3m. For the density of states at the Fermi level, the calculation gives 1.145 states/eV per atom. Its formation energy is -0.252 eV/atom. Its calculated total energy is -0.12697 hartree per atom.

***

Entry 10:
Density functional theory data (PBE-GGA) for a relaxed PrMgZrTl crystal.

Cell lengths 7.4534, 7.4534, 7.4534 Å; angles 90.00, 90.00, 90.00 degrees
Fractional positions:
Pr 0.0000 0.0000 0.0000
Pr 0.0000 0.5000 0.5000
Pr 0.5000 0.0000 0.5000
Pr 0.5000 0.5000 0.0000
Mg 0.2500 0.2500 0.7500
Mg 0.2500 0.7500 0.2500
Mg 0.7500 0.2500 0.2500
Mg 0.7500 0.7500 0.7500
Zr 0.0000 0.0000 0.5000
Zr 0.0000 0.5000 0.0000
Zr 0.5000 0.0000 0.0000
Zr 0.5000 0.5000 0.5000
Tl 0.2500 0.2500 0.2500
Tl 0.2500 0.7500 0.7500
Tl 0.7500 0.2500 0.7500
Tl 0.7500 0.7500 0.2500

Its space group is F-43m. For the density of states at the Fermi level, the calculation gives 0.446 states/eV per atom. Its formation energy is -0.050 eV/atom. Its calculated total energy is -0.16068 hartree per atom.

***

Entry 11:
Density functional theory data (PBE-GGA) for a relaxed PrTm2Mg4 crystal.

Cell lengths 5.3534, 5.3534, 14.7525 Å; angles 90.00, 90.00, 90.00 degrees
Fractional positions:
Pr 0.0000 0.0000 0.0000
Pr 0.5000 0.5000 0.5000
Tm 0.0000 0.0000 0.2491
Tm 0.0000 0.0000 0.7509
Tm 0.5000 0.5000 0.2509
Tm 0.5000 0.5000 0.7491
Mg 0.0000 0.5000 0.1220
Mg 0.0000 0.5000 0.3780
Mg 0.0000 0.5000 0.6220
Mg 0.0000 0.5000 0.8780
Mg 0.5000 0.0000 0.1220
Mg 0.5000 0.0000 0.3780
Mg 0.5000 0.0000 0.6220
Mg 0.5000 0.0000 0.8780

Its space group is I4/mmm. For the density of states at the Fermi level, the calculation gives 0.992 states/eV per atom. Its formation energy is 0.152 eV/atom. Its calculated total energy is -0.09996 hartree per atom.

***

Entry 12:
Density functional theory data (PBE-GGA) for a relaxed PrTm6Mg crystal.

Cell lengths 7.1397, 10.9290, 6.4202 Å; angles 90.00, 99.76, 90.00 degrees
Fractional positions:
Pr 0.0000 0.0000 0.0000
Pr 0.5000 0.5000 0.0000
Tm 0.0915 0.5000 0.2633
Tm 0.1831 0.2687 0.7302
Tm 0.1831 0.7313 0.7302
Tm 0.3169 0.2313 0.2698
Tm 0.3169 0.7687 0.2698
Tm 0.4085 0.0000 0.7367
Tm 0.5915 0.0000 0.2633
Tm 0.6831 0.2313 0.7302
Tm 0.6831 0.7687 0.7302
Tm 0.8169 0.2687 0.2698
Tm 0.8169 0.7313 0.2698
Tm 0.9085 0.5000 0.7367
Mg 0.0000 0.0000 0.5000
Mg 0.5000 0.5000 0.5000

Its space group is C2/m. For the density of states at the Fermi level, the calculation gives 1.445 states/eV per atom. Its formation energy is 0.180 eV/atom. Its calculated total energy is -0.14590 hartree per atom.

***

Entry 13:
Density functional theory data (PBE-GGA) for a relaxed PrTm3Mg crystal.

Cell lengths 3.5404, 10.9821, 8.5848 Å; angles 90.00, 101.87, 90.00 degrees
Fractional positions:
Pr 0.0186 0.2500 0.0392
Pr 0.9814 0.7500 0.9608
Tm 0.1602 0.5067 0.3196
Tm 0.1602 0.9933 0.3196
Tm 0.2978 0.7500 0.5955
Tm 0.7022 0.2500 0.4045
Tm 0.8398 0.0067 0.6804
Tm 0.8398 0.4933 0.6804
Mg 0.3555 0.2500 0.7112
Mg 0.6445 0.7500 0.2888

Its space group is P2_1/m. For the density of states at the Fermi level, the calculation gives 1.338 states/eV per atom. Its formation energy is 0.177 eV/atom. Its calculated total energy is -0.13894 hartree per atom.

***

Entry 14:
Density functional theory data (PBE-GGA) for a relaxed PrTm3Mg6 crystal.

Cell lengths 9.2328, 5.2874, 11.2739 Å; angles 90.00, 106.16, 90.00 degrees
Fractional positions:
Pr 0.0552 0.2500 0.3939
Pr 0.9448 0.7500 0.6061
Tm 0.2519 0.2500 0.9978
Tm 0.3524 0.7500 0.8013
Tm 0.4556 0.2500 0.6034
Tm 0.5444 0.7500 0.3966
Tm 0.6476 0.2500 0.1987
Tm 0.7481 0.7500 0.0022
Mg 0.0505 0.7500 0.9074
Mg 0.1483 0.7500 0.1976
Mg 0.1521 0.2500 0.7042
Mg 0.2538 0.7500 0.4984
Mg 0.3497 0.2500 0.2935
Mg 0.4444 0.7500 0.1015
Mg 0.5556 0.2500 0.8985
Mg 0.6503 0.7500 0.7065
Mg 0.7462 0.2500 0.5016
Mg 0.8479 0.7500 0.2958
Mg 0.8517 0.2500 0.8024
Mg 0.9495 0.2500 0.0926

Its space group is P2_1/m. For the density of states at the Fermi level, the calculation gives 0.929 states/eV per atom. Its formation energy is -0.055 eV/atom. Its calculated total energy is -0.10406 hartree per atom.

***

Entry 15:
Density functional theory data (PBE-GGA) for a relaxed PrTm4Mg crystal.

Cell lengths 3.5677, 3.5677, 14.1615 Å; angles 90.00, 90.00, 90.00 degrees
Fractional positions:
Pr 0.0000 0.0000 0.0000
Tm 0.0000 0.0000 0.3491
Tm 0.0000 0.0000 0.6509
Tm 0.5000 0.5000 0.1799
Tm 0.5000 0.5000 0.8201
Mg 0.5000 0.5000 0.5000

Its space group is P4/mmm. For the density of states at the Fermi level, the calculation gives 1.578 states/eV per atom. Its formation energy is 0.000 eV/atom. Its calculated total energy is -0.14859 hartree per atom.

***

Entry 16:
Density functional theory data (PBE-GGA) for a relaxed Pr5TmMg6 crystal.

Cell lengths 5.4866, 7.7871, 8.6854 Å; angles 90.00, 108.36, 90.00 degrees
Fractional positions:
Pr 0.0000 0.0000 0.0000
Pr 0.3310 0.0000 0.6620
Pr 0.3362 0.5000 0.6722
Pr 0.6638 0.5000 0.3278
Pr 0.6690 0.0000 0.3380
Tm 0.0000 0.5000 0.0000
Mg 0.1637 0.2557 0.3282
Mg 0.1637 0.7443 0.3282
Mg 0.5000 0.2539 0.0000
Mg 0.5000 0.7461 0.0000
Mg 0.8363 0.2557 0.6718
Mg 0.8363 0.7443 0.6718

Its space group is P2/m. For the density of states at the Fermi level, the calculation gives 1.100 states/eV per atom. Its formation energy is -0.105 eV/atom. Its calculated total energy is -0.12002 hartree per atom.

***

Entry 17:
Density functional theory data (PBE-GGA) for a relaxed Pr5Tm4Mg crystal.

Cell lengths 3.6466, 3.6466, 24.4318 Å; angles 90.00, 90.00, 90.00 degrees
Fractional positions:
Pr 0.0000 0.0000 0.0000
Pr 0.0000 0.0000 0.2032
Pr 0.0000 0.0000 0.4076
Pr 0.0000 0.0000 0.5924
Pr 0.0000 0.0000 0.7968
Tm 0.5000 0.5000 0.1019
Tm 0.5000 0.5000 0.3057
Tm 0.5000 0.5000 0.6943
Tm 0.5000 0.5000 0.8981
Mg 0.5000 0.5000 0.5000

Its space group is P4/mmm. For the density of states at the Fermi level, the calculation gives 1.366 states/eV per atom. Its formation energy is 0.003 eV/atom. Its calculated total energy is -0.15930 hartree per atom.

***

Entry 18:
Density functional theory data (PBE-GGA) for a relaxed Pr5Tm4Mg2 crystal.

Cell lengths 9.0777, 21.2644, 3.6462 Å; angles 90.00, 90.00, 90.00 degrees
Fractional positions:
Pr 0.0000 0.0000 0.0000
Pr 0.1285 0.4358 0.0000
Pr 0.2457 0.2172 0.0000
Pr 0.2543 0.7172 0.0000
Pr 0.3715 0.9358 0.0000
Pr 0.5000 0.5000 0.0000
Pr 0.6285 0.0642 0.0000
Pr 0.7457 0.2828 0.0000
Pr 0.7543 0.7828 0.0000
Pr 0.8715 0.5642 0.0000
Tm 0.0707 0.8509 0.5000
Tm 0.2176 0.5766 0.5000
Tm 0.2824 0.0766 0.5000
Tm 0.4293 0.3509 0.5000
Tm 0.5707 0.6491 0.5000
Tm 0.7176 0.9234 0.5000
Tm 0.7824 0.4234 0.5000
Tm 0.9293 0.1491 0.5000
Mg 0.0416 0.3101 0.5000
Mg 0.4584 0.8101 0.5000
Mg 0.5416 0.1899 0.5000
Mg 0.9584 0.6899 0.5000

Its space group is Pbam. For the density of states at the Fermi level, the calculation gives 1.177 states/eV per atom. Its formation energy is 0.017 eV/atom. Its calculated total energy is -0.14961 hartree per atom.

***

Entry 19:
Density functional theory data (PBE-GGA) for a relaxed PrTm3Mg2 crystal.

Cell lengths 3.6261, 3.6261, 13.1329 Å; angles 90.00, 90.00, 90.00 degrees
Fractional positions:
Pr 0.0000 0.0000 0.0000
Tm 0.5000 0.5000 0.1928
Tm 0.5000 0.5000 0.5000
Tm 0.5000 0.5000 0.8072
Mg 0.0000 0.0000 0.3487
Mg 0.0000 0.0000 0.6513

Its space group is P4/mmm. For the density of states at the Fermi level, the calculation gives 1.210 states/eV per atom. Its formation energy is -0.031 eV/atom. Its calculated total energy is -0.13212 hartree per atom.

***

Entry 20:
Density functional theory data (PBE-GGA) for a relaxed Pr8Tm4Mg crystal.

Cell lengths 10.9269, 10.9269, 10.9269 Å; angles 38.43, 38.43, 38.43 degrees
Fractional positions:
Pr 0.2214 0.2214 0.2214
Pr 0.2325 0.7453 0.7453
Pr 0.2547 0.2547 0.7675
Pr 0.2547 0.7675 0.2547
Pr 0.7453 0.2325 0.7453
Pr 0.7453 0.7453 0.2325
Pr 0.7675 0.2547 0.2547
Pr 0.7786 0.7786 0.7786
Tm 0.0000 0.0000 0.0000
Tm 0.0000 0.5000 0.5000
Tm 0.5000 0.0000 0.5000
Tm 0.5000 0.5000 0.0000
Mg 0.5000 0.5000 0.5000

Its space group is R-3m. For the density of states at the Fermi level, the calculation gives 1.139 states/eV per atom. Its formation energy is 0.161 eV/atom. Its calculated total energy is -0.15724 hartree per atom.

***

no.,calculated volume (Å³ per cell)
1,416.0
2,650.8
3,469.6
4,296.9
5,303.4
6,356.8
7,228.2
8,449.1
9,223.7
10,414.1
11,422.8
12,493.7
13,326.7
14,528.6
15,180.3
16,352.2
17,324.9
18,703.8
19,172.7
20,452.8